Below is a relaxed Ac2Ge3IrPt12 crystal, with properties calculated at the GGA-PBE level.

Cell: 8.123 8.123 8.123 Å, 61.07 61.07 61.07°
Atoms (fractional coordinates):
Ac  0.622  0.622  0.622
Ac  0.378  0.378  0.378
Ge  0.500  0.000  0.000
Ge  0.000  0.500  0.000
Ge  0.000  0.000  0.500
Ir  0.000  0.000  0.000
Pt  0.362  0.362  0.887
Pt  0.879  0.879  0.375
Pt  0.375  0.879  0.879
Pt  0.887  0.362  0.362
Pt  0.879  0.375  0.879
Pt  0.362  0.887  0.362
Pt  0.638  0.638  0.113
Pt  0.121  0.121  0.625
Pt  0.625  0.121  0.121
Pt  0.113  0.638  0.638
Pt  0.121  0.625  0.121
Pt  0.638  0.113  0.638

Results
- density of states at the Fermi level (states/eV/cell) = 9.4
- E_tot (eV for the cell shown) = -107.78
- M_tot (μB per formula unit) = 0.0
- formation enthalpy at 0 K (kcal/mol of atoms) = -5.6
- crystal system = trigonal
- SG = R-3m (166)